Record 1
Here is a relaxed structure of TaZnGe2 from OQMD via LeMat-Bulk. Energies are from PBE.

```
data_TaZnGe2
_symmetry_space_group_name_H-M 'P 1'
_symmetry_Int_Tables_number 1
_symmetry_space_group_name_Hall 'P 1'
_cell_length_a 4.6106
_cell_length_b 4.6106
_cell_length_c 4.6106
_cell_angle_alpha 60.00
_cell_angle_beta 60.00
_cell_angle_gamma 60.00
loop_
_atom_site_label
_atom_site_type_symbol
_atom_site_fract_x
_atom_site_fract_y
_atom_site_fract_z
Ge1 Ge 0.0000 0.0000 0.0000
Zn1 Zn 0.5000 0.5000 0.5000
Ta1 Ta 0.2500 0.2500 0.2500
Ge2 Ge 0.7500 0.7500 0.7500
```

Output
Electronic total energy: -5.069 eV per atom
Space-group type: F-43m, No. 216

***

Record 2
Here is a relaxed structure of Ta2ZnGe from OQMD via LeMat-Bulk. Energies are from PBE.

```
data_Ta2ZnGe
_symmetry_space_group_name_H-M 'P 1'
_symmetry_Int_Tables_number 1
_symmetry_space_group_name_Hall 'P 1'
_cell_length_a 4.5760
_cell_length_b 4.5760
_cell_length_c 4.5760
_cell_angle_alpha 60.00
_cell_angle_beta 60.00
_cell_angle_gamma 60.00
loop_
_atom_site_label
_atom_site_type_symbol
_atom_site_fract_x
_atom_site_fract_y
_atom_site_fract_z
Ta1 Ta 0.7500 0.7500 0.7500
Zn1 Zn 0.2500 0.2500 0.2500
Ge1 Ge 0.5000 0.5000 0.5000
Ta2 Ta 0.0000 0.0000 0.0000
```

Output
Electronic total energy: -7.012 eV per atom
Space-group type: F-43m, No. 216

***

Record 3
Here is a relaxed structure of Zr2TaGe2 from OQMD via LeMat-Bulk. Energies are from PBE.

```
data_Zr2TaGe2
_symmetry_space_group_name_H-M 'P 1'
_symmetry_Int_Tables_number 1
_symmetry_space_group_name_Hall 'P 1'
_cell_length_a 6.9941
_cell_length_b 6.9941
_cell_length_c 3.7842
_cell_angle_alpha 90.00
_cell_angle_beta 90.00
_cell_angle_gamma 90.00
loop_
_atom_site_label
_atom_site_type_symbol
_atom_site_fract_x
_atom_site_fract_y
_atom_site_fract_z
Ge1 Ge 0.8693 0.6307 0.0000
Zr1 Zr 0.8272 0.3272 0.5000
Ge2 Ge 0.6307 0.1307 0.0000
Ge3 Ge 0.3693 0.8693 0.0000
Zr2 Zr 0.1728 0.6728 0.5000
Ta1 Ta 0.5000 0.5000 0.0000
Zr3 Zr 0.6728 0.8272 0.5000
Ta2 Ta 0.0000 0.0000 0.0000
Ge4 Ge 0.1307 0.3693 0.0000
Zr4 Zr 0.3272 0.1728 0.5000
```

Output
Electronic total energy: -8.352 eV per atom
Space-group type: P4/mbm, No. 127

***

Record 4
Here is a relaxed structure of ZrTa2Ge2 from OQMD via LeMat-Bulk. Energies are from PBE.

```
data_ZrTa2Ge2
_symmetry_space_group_name_H-M 'P 1'
_symmetry_Int_Tables_number 1
_symmetry_space_group_name_Hall 'P 1'
_cell_length_a 6.5492
_cell_length_b 6.5492
_cell_length_c 6.5492
_cell_angle_alpha 144.79
_cell_angle_beta 144.79
_cell_angle_gamma 50.65
loop_
_atom_site_label
_atom_site_type_symbol
_atom_site_fract_x
_atom_site_fract_y
_atom_site_fract_z
Ge1 Ge 0.6007 0.6007 0.0000
Ge2 Ge 0.3993 0.3993 0.0000
Ta1 Ta 0.7500 0.2500 0.5000
Ta2 Ta 0.2500 0.7500 0.5000
Zr1 Zr 0.0000 0.0000 0.0000
```

Output
Electronic total energy: -8.624 eV per atom
Space-group type: I4/mmm, No. 139

***

Record 5
Here is a relaxed structure of TbGe2 from OQMD via LeMat-Bulk. Energies are from PBE.

```
data_TbGe2
_symmetry_space_group_name_H-M 'P 1'
_symmetry_Int_Tables_number 1
_symmetry_space_group_name_Hall 'P 1'
_cell_length_a 5.6467
_cell_length_b 5.6467
_cell_length_c 5.6467
_cell_angle_alpha 60.00
_cell_angle_beta 60.00
_cell_angle_gamma 60.00
loop_
_atom_site_label
_atom_site_type_symbol
_atom_site_fract_x
_atom_site_fract_y
_atom_site_fract_z
Tb1 Tb 0.2500 0.2500 0.2500
Ge1 Ge 0.6250 0.6250 0.1250
Ge2 Ge 0.1250 0.6250 0.6250
Ge3 Ge 0.6250 0.6250 0.6250
Ge4 Ge 0.6250 0.1250 0.6250
Tb2 Tb 0.0000 0.0000 0.0000
```

Output
Electronic total energy: -4.953 eV per atom
Space-group type: Fd-3m, No. 227

***

Record 6
Here is a relaxed structure of TbGe2 from OQMD via LeMat-Bulk. Energies are from PBE.

```
data_TbGe2
_symmetry_space_group_name_H-M 'P 1'
_symmetry_Int_Tables_number 1
_symmetry_space_group_name_Hall 'P 1'
_cell_length_a 8.7047
_cell_length_b 8.7047
_cell_length_c 8.7047
_cell_angle_alpha 153.49
_cell_angle_beta 153.49
_cell_angle_gamma 37.84
loop_
_atom_site_label
_atom_site_type_symbol
_atom_site_fract_x
_atom_site_fract_y
_atom_site_fract_z
Ge1 Ge 0.5784 0.5784 0.0000
Tb1 Tb 0.7500 0.2500 0.5000
Tb2 Tb 0.0000 0.0000 0.0000
Ge2 Ge 0.3284 0.8284 0.5000
Ge3 Ge 0.1716 0.6716 0.5000
Ge4 Ge 0.4216 0.4216 0.0000
```

Output
Electronic total energy: -5.160 eV per atom
Space-group type: I4_1/amd, No. 141

***

Please write out number 2 again, unchanged.
Here is a relaxed structure of Ta2ZnGe from OQMD via LeMat-Bulk. Energies are from PBE.

```
data_Ta2ZnGe
_symmetry_space_group_name_H-M 'P 1'
_symmetry_Int_Tables_number 1
_symmetry_space_group_name_Hall 'P 1'
_cell_length_a 4.5760
_cell_length_b 4.5760
_cell_length_c 4.5760
_cell_angle_alpha 60.00
_cell_angle_beta 60.00
_cell_angle_gamma 60.00
loop_
_atom_site_label
_atom_site_type_symbol
_atom_site_fract_x
_atom_site_fract_y
_atom_site_fract_z
Ta1 Ta 0.7500 0.7500 0.7500
Zn1 Zn 0.2500 0.2500 0.2500
Ge1 Ge 0.5000 0.5000 0.5000
Ta2 Ta 0.0000 0.0000 0.0000
```

Output
Electronic total energy: -7.012 eV per atom
Space-group type: F-43m, No. 216